Entry 1:
The following is a DFT calculation (PBE-GGA) of a relaxed ZrGa3Ge crystal.

Unit cell a=4.8289 b=4.8289 c=4.8289 alpha=90.00 beta=90.00 gamma=90.00
Fractional coordinates of all 5 atoms:
1 Zr 0.0000 0.0000 0.0000
2 Ga 0.0000 0.5000 0.5000
3 Ga 0.5000 0.0000 0.5000
4 Ga 0.5000 0.5000 0.0000
5 Ge 0.5000 0.5000 0.5000

Results
ΔE_f = 0.573 eV per atom
Space-group type = No. 221
Total magnetic moment = 0.0 μB/f.u.
Excess energy over the best structure of this formula in the dataset = 0 meV/atom
Energy = -0.2849 Ry per atom

---

Entry 2:
The following is a DFT calculation (PBE-GGA) of a relaxed NdErLuZr crystal.

Unit cell a=5.4772 b=5.4772 c=5.4772 alpha=60.00 beta=60.00 gamma=60.00
Fractional coordinates of all 4 atoms:
1 Nd 0.0000 0.0000 0.0000
2 Er 0.2500 0.2500 0.2500
3 Lu 0.7500 0.7500 0.7500
4 Zr 0.5000 0.5000 0.5000

Results
ΔE_f = 0.230 eV per atom
Space-group type = No. 216
Total magnetic moment = 1.2 μB/f.u.
Energy = -0.3947 Ry per atom